Material: RbC3N
Method: DFT, PBE
State: optimized geometry

Computed properties:
crystal system	cubic
DFT total energy	-3.6753	eV/atom
ΔE_f (raw)	3.718	eV/atom
N(E_F)	4.56	states/eV/cell

Unit cell a=3.989 b=3.989 c=3.989 alpha=90.00 beta=90.00 gamma=90.00
Space group Pm-3m (No. 221)
Asymmetric unit:
1 Rb 0.000 0.000 0.000 [1 per cell]
2 C 0.000 0.500 0.500 [3 per cell]
3 N 0.500 0.500 0.500 [1 per cell]

Material: U2FeSi3
Method: DFT, PBE
State: optimized geometry

Computed properties:
crystal system	orthorhombic
DFT total energy	-8.2694	eV/atom
ΔE_f (raw)	-0.385	eV/atom
N(E_F)	9.20	states/eV/cell

Unit cell a=3.689 b=4.087 c=6.919 alpha=90.00 beta=90.00 gamma=90.00
Space group Pmm2 (No. 25)
Asymmetric unit:
1 U 0.000 0.000 0.000 [1 per cell]
2 U 0.000 0.500 0.479 [1 per cell]
3 Fe 0.500 0.000 0.315 [1 per cell]
4 Si 0.500 0.000 0.650 [1 per cell]
5 Si 0.500 0.500 0.157 [1 per cell]
6 Si 0.500 0.500 0.819 [1 per cell]

Material: LaSi2NiRu
Method: DFT, PBE
State: optimized geometry

Computed properties:
crystal system	tetragonal
DFT total energy	-6.9692	eV/atom
ΔE_f (raw)	-0.803	eV/atom
N(E_F)	4.73	states/eV/cell

Unit cell a=4.054 b=4.054 c=10.444 alpha=90.00 beta=90.00 gamma=90.00
Space group I-4m2 (No. 119)
Asymmetric unit:
1 La 0.000 0.000 0.000 [2 per cell]
2 Si 0.000 0.000 0.369 [4 per cell]
3 Ni 0.000 0.500 0.250 [2 per cell]
4 Ru 0.000 0.500 0.750 [2 per cell]

Material: CeHoAu2
Method: DFT, PBE
State: optimized geometry

Computed properties:
crystal system	tetragonal
DFT total energy	-5.0060	eV/atom
N(E_F)	7.21	states/eV/cell

Unit cell a=3.576 b=3.576 c=7.525 alpha=90.00 beta=90.00 gamma=90.00
Space group P4/mmm (No. 123)
Asymmetric unit:
1 Ce 0.000 0.000 0.000 [1 per cell]
2 Ho 0.000 0.000 0.500 [1 per cell]
3 Au 0.500 0.500 0.272 [2 per cell]